Model i:
## Lu2MnFe (PBE-GGA)

Data for an optimized crystal structure of Lu2MnFe.

The structure in POSCAR format:
```
Lu2MnFe
1.0
-3.0688 0.2644 0.9220
-1.8759 -2.6089 0.1105
0.9645 -2.2736 9.4683
Mn Lu Fe
1 2 1
Cartesian
0.0000 0.0000 0.0000
-4.1626 -2.7911 3.7636
0.1824 -1.8270 6.7372
-1.9901 -2.3090 5.2504
```

Properties
* total moment: 4.4 μB per formula unit



Model ii:
## Lu2MnFe (PBE-GGA)

Data for an optimized crystal structure of Lu2MnFe.

The structure in POSCAR format:
```
Lu2MnFe
1.0
3.3034 0.0000 0.0000
0.0000 3.3034 0.0000
0.0000 0.0000 6.8697
Fe Lu Mn
1 2 1
Cartesian
1.6517 1.6517 0.0000
0.0000 0.0000 1.5766
0.0000 0.0000 5.2932
1.6517 1.6517 3.4349
```

Properties
* total moment: 3.4 μB per formula unit



Result of the stability comparison: model i is the least stable of them.



Model i:
## LuNbFe2 (PBE-GGA)

Data for an optimized crystal structure of LuNbFe2.

The structure in POSCAR format:
```
LuNbFe2
1.0
3.1159 0.0000 0.0000
0.0000 4.4512 0.0000
0.0000 0.0000 4.4512
Fe Nb Lu
2 1 1
Cartesian
0.0000 2.2256 0.0000
0.0000 0.0000 2.2256
1.5580 0.0000 0.0000
1.5580 2.2256 2.2256
```

Properties
* total moment: 0.1 μB per formula unit



Model ii:
## LuNbFe2 (PBE-GGA)

Data for an optimized crystal structure of LuNbFe2.

The structure in POSCAR format:
```
LuNbFe2
1.0
-2.0620 -0.6646 -3.8716
2.3697 -0.7362 -3.6777
0.0163 -4.0282 -1.8592
Fe Lu Nb
2 1 1
Cartesian
0.2430 -4.0717 -7.0564
0.0810 -1.3572 -2.3521
0.0000 0.0000 0.0000
0.1620 -2.7145 -4.7043
```

Properties
* total moment: 0.1 μB per formula unit



Result of the stability comparison: model i is the least stable of them.



Model i:
## NdLu2Fe (PBE-GGA)

Data for an optimized crystal structure of NdLu2Fe.

The structure in POSCAR format:
```
NdLu2Fe
1.0
-1.8703 -2.6430 0.7365
2.3041 -1.9970 -1.3150
4.0100 -0.6182 7.9647
Lu Nd Fe
2 1 1
Cartesian
3.3122 -0.5106 6.5787
0.6978 -0.1076 1.3860
2.2219 -2.6291 3.6931
0.2169 -2.3200 -0.2893
```

Properties
* total moment: 0.0 μB per formula unit



Model ii:
## NdLu2Fe (PBE-GGA)

Data for an optimized crystal structure of NdLu2Fe.

The structure in POSCAR format:
```
NdLu2Fe
1.0
3.5153 0.0000 0.0000
1.7577 3.0443 0.0000
1.7577 1.0148 9.7220
Nd Fe Lu
1 1 2
Cartesian
3.5153 2.0296 4.8610
0.0000 0.0000 0.0000
5.2730 3.0443 7.9452
1.7577 1.0148 1.7767
```

Properties
* total moment: 1.1 μB per formula unit



Result of the stability comparison: model ii is the least stable of them.



Model i:
## LuPa2Fe (PBE-GGA)

Data for an optimized crystal structure of LuPa2Fe.

The structure in POSCAR format:
```
LuPa2Fe
1.0
3.5588 0.0000 0.0000
1.7794 3.0820 0.0000
1.7794 1.0273 8.6241
Pa Lu Fe
2 1 1
Cartesian
5.3382 3.0820 7.0349
1.7794 1.0273 1.5892
3.5588 2.0547 4.3120
0.0000 0.0000 0.0000
```

Properties
* total moment: 0.0 μB per formula unit



Model ii:
## LuPa2Fe (PBE-GGA)

Data for an optimized crystal structure of LuPa2Fe.

The structure in POSCAR format:
```
LuPa2Fe
1.0
-2.1093 -1.6881 2.0780
1.5669 -2.9235 -0.7844
4.9815 1.0782 5.9325
Lu Fe Pa
1 1 2
Cartesian
2.2195 -1.7667 3.6130
-0.2712 -2.3058 0.6468
4.0706 0.8810 4.8478
0.9108 0.1971 1.0847
```

Properties
* total moment: 0.0 μB per formula unit



Result of the stability comparison: model ii is the least stable of them.



Model i:
## LuPaFe (PBE-GGA)

Data for an optimized crystal structure of LuPaFe.

The structure in POSCAR format:
```
LuPaFe
1.0
-1.8380 3.6719 2.8198
-3.7399 -1.0593 -1.0584
1.7136 -1.6421 3.2552
Pa Lu Fe
1 1 1
Cartesian
-0.4106 -0.8358 2.2874
-3.1474 1.1944 2.2594
-0.3063 0.6120 0.4700
```

Properties
* total moment: 0.0 μB per formula unit



Model ii:
## LuPaFe (PBE-GGA)

Data for an optimized crystal structure of LuPaFe.

The structure in POSCAR format:
```
LuPaFe
1.0
3.3576 0.0000 0.0000
0.0000 3.3576 0.0000
-1.6788 -1.6788 5.4595
Pa Fe Lu
1 1 1
Cartesian
0.0000 0.0000 3.2566
1.6788 1.6788 2.1362
0.0000 0.0000 0.0667
```

Properties
* total moment: 0.0 μB per formula unit



Result of the stability comparison: model i is the least stable of them.



Model i:
## Lu2FeRh (PBE-GGA)

Data for an optimized crystal structure of Lu2FeRh.

The structure in POSCAR format:
```
Lu2FeRh
1.0
-2.5822 3.2687 -2.1106
-4.6477 -0.4296 -0.1451
-2.6888 2.8512 2.5392
Lu Fe Rh
2 1 1
Cartesian
-7.4390 4.2677 0.2127
-2.4797 1.4226 0.0709
-4.9593 2.8452 0.1418
0.0000 0.0000 0.0000
```

Properties
* total moment: 0.2 μB per formula unit



Model ii:
## Lu2FeRh (PBE-GGA)

Data for an optimized crystal structure of Lu2FeRh.

The structure in POSCAR format:
```
Lu2FeRh
1.0
-3.0320 0.8351 -0.9998
-1.1022 -0.2947 3.0965
1.3953 6.3885 1.1047
Rh Lu Fe
1 2 1
Cartesian
-2.0671 0.2702 1.0484
0.3593 1.6450 0.2845
1.0360 4.7435 0.8203
-1.3695 3.4645 1.6007
```

Properties
* total moment: 0.4 μB per formula unit



Result of the stability comparison: model i is the least stable of them.